# Na3TiPd GGA-PBEsol optimized geometry
data_Na3TiPd
_space_group_name_H-M_alt 'P m -3 m'
_space_group_IT_number 221
_space_group_name_Hall '-P 4 2 3'
_cell_length_a 5.243
_cell_length_b 5.243
_cell_length_c 5.243
_cell_angle_alpha 90.00
_cell_angle_beta 90.00
_cell_angle_gamma 90.00
loop_
_atom_site_label
_atom_site_type_symbol
_atom_site_fract_x
_atom_site_fract_y
_atom_site_fract_z
Na1 Na 0.000 0.000 0.500
Ti1 Ti 0.500 0.500 0.500
Pd1 Pd 0.000 0.000 0.000
# E, Ry per atom: -0.206
# Theoretical density, kg/m3: 2572
# Energy of formation, eV per atom: 0.891



# NaTl2Pd GGA-PBEsol optimized geometry
data_NaTl2Pd
_space_group_name_H-M_alt 'F m -3 m'
_space_group_IT_number 225
_space_group_name_Hall '-F 4 2 3'
_cell_length_a 6.897
_cell_length_b 6.897
_cell_length_c 6.897
_cell_angle_alpha 90.00
_cell_angle_beta 90.00
_cell_angle_gamma 90.00
loop_
_atom_site_label
_atom_site_type_symbol
_atom_site_fract_x
_atom_site_fract_y
_atom_site_fract_z
Na1 Na 0.000 0.000 0.000
Tl1 Tl 0.250 0.250 0.250
Pd1 Pd 0.000 0.000 0.500
# E, Ry per atom: -0.243
# Theoretical density, kg/m3: 10894
# Energy of formation, eV per atom: -0.145



# NaTlPd2 GGA-PBEsol optimized geometry
data_NaTlPd2
_space_group_name_H-M_alt 'F m -3 m'
_space_group_IT_number 225
_space_group_name_Hall '-F 4 2 3'
_cell_length_a 6.514
_cell_length_b 6.514
_cell_length_c 6.514
_cell_angle_alpha 90.00
_cell_angle_beta 90.00
_cell_angle_gamma 90.00
loop_
_atom_site_label
_atom_site_type_symbol
_atom_site_fract_x
_atom_site_fract_y
_atom_site_fract_z
Na1 Na 0.000 0.000 0.000
Tl1 Tl 0.000 0.000 0.500
Pd1 Pd 0.250 0.250 0.250
# E, Ry per atom: -0.304
# Theoretical density, kg/m3: 10580
# Energy of formation, eV per atom: -0.155



# Na2Tl2Pd GGA-PBEsol optimized geometry
data_Na2Tl2Pd
_space_group_name_H-M_alt 'P 4/m b m'
_space_group_IT_number 127
_space_group_name_Hall '-P 4 2ab'
_cell_length_a 7.070
_cell_length_b 7.070
_cell_length_c 5.106
_cell_angle_alpha 90.00
_cell_angle_beta 90.00
_cell_angle_gamma 90.00
loop_
_atom_site_label
_atom_site_type_symbol
_atom_site_fract_x
_atom_site_fract_y
_atom_site_fract_z
Na1 Na 0.174 0.326 0.000
Tl1 Tl 0.150 0.650 0.500
Pd1 Pd 0.000 0.000 0.500
# E, Ry per atom: -0.212
# Theoretical density, kg/m3: 7303
# Energy of formation, eV per atom: -0.080



# NaPd3W GGA-PBEsol optimized geometry
data_NaPd3W
_space_group_name_H-M_alt 'P m -3 m'
_space_group_IT_number 221
_space_group_name_Hall '-P 4 2 3'
_cell_length_a 4.403
_cell_length_b 4.403
_cell_length_c 4.403
_cell_angle_alpha 90.00
_cell_angle_beta 90.00
_cell_angle_gamma 90.00
loop_
_atom_site_label
_atom_site_type_symbol
_atom_site_fract_x
_atom_site_fract_y
_atom_site_fract_z
Na1 Na 0.000 0.000 0.000
Pd1 Pd 0.000 0.000 0.500
W1 W 0.500 0.500 0.500
# E, Ry per atom: -0.366
# Theoretical density, kg/m3: 10237
# Energy of formation, eV per atom: 1.639



# NaZn2Pd2 GGA-PBEsol optimized geometry
data_NaZn2Pd2
_space_group_name_H-M_alt 'P 4/m b m'
_space_group_IT_number 127
_space_group_name_Hall '-P 4 2ab'
_cell_length_a 7.511
_cell_length_b 7.511
_cell_length_c 2.779
_cell_angle_alpha 90.00
_cell_angle_beta 90.00
_cell_angle_gamma 90.00
loop_
_atom_site_label
_atom_site_type_symbol
_atom_site_fract_x
_atom_site_fract_y
_atom_site_fract_z
Na1 Na 0.000 0.000 0.000
Zn1 Zn 0.160 0.340 0.500
Pd1 Pd 0.135 0.635 0.000
# E, Ry per atom: -0.271
# Theoretical density, kg/m3: 7767
# Energy of formation, eV per atom: -0.396



# Na2ZrPd GGA-PBEsol optimized geometry
data_Na2ZrPd
_space_group_name_H-M_alt 'F m -3 m'
_space_group_IT_number 225
_space_group_name_Hall '-F 4 2 3'
_cell_length_a 6.803
_cell_length_b 6.803
_cell_length_c 6.803
_cell_angle_alpha 90.00
_cell_angle_beta 90.00
_cell_angle_gamma 90.00
loop_
_atom_site_label
_atom_site_type_symbol
_atom_site_fract_x
_atom_site_fract_y
_atom_site_fract_z
Na1 Na 0.250 0.250 0.250
Zr1 Zr 0.000 0.000 0.000
Pd1 Pd 0.000 0.000 0.500
# E, Ry per atom: -0.276
# Theoretical density, kg/m3: 5140
# Energy of formation, eV per atom: 0.707



# NaPrS2 GGA-PBEsol optimized geometry
data_NaPrS2
_space_group_name_H-M_alt 'I 41/a m d'
_space_group_IT_number 141
_cell_length_a 5.688
_cell_length_b 5.688
_cell_length_c 11.858
_cell_angle_alpha 90.00
_cell_angle_beta 90.00
_cell_angle_gamma 90.00
loop_
_space_group_symop_operation_xyz
'x,y,z'
'-x,-y,-z'
'-y+1/4,x+3/4,z+1/4'
'y+1/4,-x+3/4,-z+1/4'
'-x+1/2,-y,z+1/2'
'x+1/2,y,-z+1/2'
'y+1/4,-x+1/4,z+3/4'
'-y+1/4,x+1/4,-z+3/4'
'x,-y,-z'
'-x,y,z'
'-y+1/4,-x+1/4,-z+3/4'
'y+1/4,x+1/4,z+3/4'
'-x+1/2,y,-z+1/2'
'x+1/2,-y,z+1/2'
'y+1/4,x+3/4,-z+1/4'
'-y+1/4,-x+3/4,z+1/4'
'x+1/2,y+1/2,z+1/2'
'-x+1/2,-y+1/2,-z+1/2'
'-y+3/4,x+1/4,z+3/4'
'y+3/4,-x+1/4,-z+3/4'
'-x,-y+1/2,z'
'x,y+1/2,-z'
'y+3/4,-x+3/4,z+1/4'
'-y+3/4,x+3/4,-z+1/4'
'x+1/2,-y+1/2,-z+1/2'
'-x+1/2,y+1/2,z+1/2'
'-y+3/4,-x+3/4,-z+1/4'
'y+3/4,x+3/4,z+1/4'
'-x,y+1/2,-z'
'x,-y+1/2,z'
'y+3/4,x+1/4,-z+3/4'
'-y+3/4,-x+1/4,z+3/4'
loop_
_atom_site_label
_atom_site_type_symbol
_atom_site_fract_x
_atom_site_fract_y
_atom_site_fract_z
Na1 Na 0.000 0.250 0.375
Pr1 Pr 0.000 0.250 0.875
S1 S 0.000 0.250 0.113
# E, Ry per atom: -0.413
# Theoretical density, kg/m3: 3949
# Raw formation energy, eV/atom: -1.780



# NaPrS2 GGA-PBEsol optimized geometry
data_NaPrS2
_space_group_name_H-M_alt 'P 4/m m m'
_space_group_IT_number 123
_space_group_name_Hall '-P 4 2'
_cell_length_a 4.093
_cell_length_b 4.093
_cell_length_c 5.586
_cell_angle_alpha 90.00
_cell_angle_beta 90.00
_cell_angle_gamma 90.00
loop_
_atom_site_label
_atom_site_type_symbol
_atom_site_fract_x
_atom_site_fract_y
_atom_site_fract_z
Na1 Na 0.000 0.000 0.000
Pr1 Pr 0.500 0.500 0.500
S1 S 0.000 0.000 0.500
S2 S 0.500 0.500 0.000
# E, Ry per atom: -0.407
# Theoretical density, kg/m3: 4047
# Raw formation energy, eV/atom: -1.702



# NaPrS2 GGA-PBEsol optimized geometry
data_NaPrS2
_space_group_name_H-M_alt 'R -3 m'
_space_group_IT_number 166
_space_group_name_Hall '-R 3 2"'
_cell_length_a 4.1153
_cell_length_b 4.1153
_cell_length_c 19.7765
_cell_angle_alpha 90.00
_cell_angle_beta 90.00
_cell_angle_gamma 120.00
loop_
_atom_site_label
_atom_site_type_symbol
_atom_site_fract_x
_atom_site_fract_y
_atom_site_fract_z
Na1 Na 0.0000 0.0000 0.0000
Pr1 Pr 0.0000 0.0000 0.5000
S1 S 0.0000 0.0000 0.2454
# E, Ry per atom: -0.414
# Theoretical density, kg/m3: 3916
# Raw formation energy, eV/atom: -1.788



# NaPr2Se3 GGA-PBEsol optimized geometry
data_NaPr2Se3
_space_group_name_H-M_alt 'I m m m'
_space_group_IT_number 71
_space_group_name_Hall '-I 2 2'
_cell_length_a 4.184
_cell_length_b 5.931
_cell_length_c 12.716
_cell_angle_alpha 90.00
_cell_angle_beta 90.00
_cell_angle_gamma 90.00
loop_
_atom_site_label
_atom_site_type_symbol
_atom_site_fract_x
_atom_site_fract_y
_atom_site_fract_z
Na1 Na 0.000 0.000 0.000
Pr1 Pr 0.000 0.000 0.336
Se1 Se 0.000 0.500 0.000
Se2 Se 0.000 0.500 0.333
# E, Ry per atom: -0.413
# Theoretical density, kg/m3: 5700
# Raw formation energy, eV/atom: -1.739



# NaPrTl2 GGA-PBEsol optimized geometry
data_NaPrTl2
_space_group_name_H-M_alt 'F m -3 m'
_space_group_IT_number 225
_space_group_name_Hall '-F 4 2 3'
_cell_length_a 7.560
_cell_length_b 7.560
_cell_length_c 7.560
_cell_angle_alpha 90.00
_cell_angle_beta 90.00
_cell_angle_gamma 90.00
loop_
_atom_site_label
_atom_site_type_symbol
_atom_site_fract_x
_atom_site_fract_y
_atom_site_fract_z
Na1 Na 0.000 0.000 0.000
Pr1 Pr 0.000 0.000 0.500
Tl1 Tl 0.250 0.250 0.250
# E, Ry per atom: -0.240
# Theoretical density, kg/m3: 8804
# Energy of formation, eV per atom: -0.311



# Na3Pt GGA-PBEsol optimized geometry
data_Na3Pt
_space_group_name_H-M_alt 'P 63/m m c'
_space_group_IT_number 194
_space_group_name_Hall '-P 6c 2c'
_cell_length_a 6.3064
_cell_length_b 6.3064
_cell_length_c 5.0648
_cell_angle_alpha 90.00
_cell_angle_beta 90.00
_cell_angle_gamma 120.00
loop_
_atom_site_label
_atom_site_type_symbol
_atom_site_fract_x
_atom_site_fract_y
_atom_site_fract_z
Na1 Na 0.1797 0.3594 0.2500
Pt1 Pt 0.3333 0.6667 0.7500
# E, Ry per atom: -0.201
# Theoretical density, kg/m3: 5027
# Energy of formation, eV per atom: 0.052



# Na3Pt GGA-PBEsol optimized geometry
data_Na3Pt
_space_group_name_H-M_alt 'P m -3 n'
_space_group_IT_number 223
_space_group_name_Hall '-P 4n 2 3'
_cell_length_a 5.545
_cell_length_b 5.545
_cell_length_c 5.545
_cell_angle_alpha 90.00
_cell_angle_beta 90.00
_cell_angle_gamma 90.00
loop_
_atom_site_label
_atom_site_type_symbol
_atom_site_fract_x
_atom_site_fract_y
_atom_site_fract_z
Na1 Na 0.000 0.250 0.500
Pt1 Pt 0.000 0.000 0.000
# E, Ry per atom: -0.201
# Theoretical density, kg/m3: 5144
# Energy of formation, eV per atom: 0.051



# Na3Pt GGA-PBEsol optimized geometry
data_Na3Pt
_space_group_name_H-M_alt 'P n m a'
_space_group_IT_number 62
_space_group_name_Hall '-P 2ac 2n'
_cell_length_a 8.165
_cell_length_b 8.785
_cell_length_c 5.429
_cell_angle_alpha 90.00
_cell_angle_beta 90.00
_cell_angle_gamma 90.00
loop_
_atom_site_label
_atom_site_type_symbol
_atom_site_fract_x
_atom_site_fract_y
_atom_site_fract_z
Na1 Na 0.021 0.250 0.076
Na2 Na 0.169 0.066 0.598
Pt1 Pt 0.132 0.750 0.434
# E, Ry per atom: -0.202
# Theoretical density, kg/m3: 4503
# Energy of formation, eV per atom: 0.036



# NaPt5 GGA-PBEsol optimized geometry
data_NaPt5
_space_group_name_H-M_alt 'A m m 2'
_space_group_IT_number 38
_space_group_name_Hall 'A 2 -2'
_cell_length_a 4.618
_cell_length_b 2.696
_cell_length_c 14.681
_cell_angle_alpha 90.00
_cell_angle_beta 90.00
_cell_angle_gamma 90.00
loop_
_atom_site_label
_atom_site_type_symbol
_atom_site_fract_x
_atom_site_fract_y
_atom_site_fract_z
Na1 Na 0.000 0.000 0.000
Pt1 Pt 0.000 0.000 0.332
Pt2 Pt 0.000 0.000 0.668
Pt3 Pt 0.500 0.000 0.109
Pt4 Pt 0.500 0.000 0.441
Pt5 Pt 0.500 0.000 0.777
# Energy above the lowest structure with this stoichiometry, kJ per mole of atoms: 10.7
# E, Ry per atom: -0.440
# Theoretical density, kg/m3: 18142
# Energy of formation, eV per atom: 0.053



# Na3Pt GGA-PBEsol optimized geometry
data_Na3Pt
_space_group_name_H-M_alt 'P 1 2/m 1'
_space_group_IT_number 10
_space_group_name_Hall '-P 2y'
_cell_length_a 2.900
_cell_length_b 4.614
_cell_length_c 6.392
_cell_angle_alpha 90.00
_cell_angle_beta 90.02
_cell_angle_gamma 90.00
loop_
_atom_site_label
_atom_site_type_symbol
_atom_site_fract_x
_atom_site_fract_y
_atom_site_fract_z
Na1 Na 0.000 0.000 0.000
Na2 Na 0.497 0.500 0.710
Pt1 Pt 0.000 0.000 0.500
# E, Ry per atom: -0.201
# Theoretical density, kg/m3: 5126
# Energy of formation, eV per atom: 0.060



# NaPt5 GGA-PBEsol optimized geometry
data_NaPt5
_space_group_name_H-M_alt 'P 6/m m m'
_space_group_IT_number 191
_space_group_name_Hall '-P 6 2'
_cell_length_a 5.2807
_cell_length_b 5.2807
_cell_length_c 4.3462
_cell_angle_alpha 90.00
_cell_angle_beta 90.00
_cell_angle_gamma 120.00
loop_
_atom_site_label
_atom_site_type_symbol
_atom_site_fract_x
_atom_site_fract_y
_atom_site_fract_z
Na1 Na 0.0000 0.0000 0.0000
Pt1 Pt 0.0000 0.5000 0.5000
Pt2 Pt 0.3333 0.6667 0.0000
# Energy above the lowest structure with this stoichiometry, kJ per mole of atoms: 0.0
# E, Ry per atom: -0.448
# Theoretical density, kg/m3: 15795
# Energy of formation, eV per atom: -0.058



# Na4Pt GGA-PBEsol optimized geometry
data_Na4Pt
_space_group_name_H-M_alt 'I 4/m'
_space_group_IT_number 87
_space_group_name_Hall '-I 4'
_cell_length_a 6.969
_cell_length_b 6.969
_cell_length_c 4.726
_cell_angle_alpha 90.00
_cell_angle_beta 90.00
_cell_angle_gamma 90.00
loop_
_atom_site_label
_atom_site_type_symbol
_atom_site_fract_x
_atom_site_fract_y
_atom_site_fract_z
Na1 Na 0.117 0.281 0.000
Pt1 Pt 0.000 0.000 0.500
# E, Ry per atom: -0.182
# Theoretical density, kg/m3: 4154
# Energy of formation, eV per atom: 0.033



# Rb3NaPt GGA-PBEsol optimized geometry
data_Rb3NaPt
_space_group_name_H-M_alt 'P m -3 m'
_space_group_IT_number 221
_space_group_name_Hall '-P 4 2 3'
_cell_length_a 6.317
_cell_length_b 6.317
_cell_length_c 6.317
_cell_angle_alpha 90.00
_cell_angle_beta 90.00
_cell_angle_gamma 90.00
loop_
_atom_site_label
_atom_site_type_symbol
_atom_site_fract_x
_atom_site_fract_y
_atom_site_fract_z
Rb1 Rb 0.000 0.000 0.500
Na1 Na 0.000 0.000 0.000
Pt1 Pt 0.500 0.500 0.500
# E, Ry per atom: -0.113
# Theoretical density, kg/m3: 3126
# Energy of formation, eV per atom: 0.755